Record 1
Material: K8LaP4S16
Method: DFT, PBE-GGA
State: relaxed

```
data_K8LaP4S16
_chemical_formula_sum 'K16 La2 P8 S32'
_cell_length_a 8.872
_cell_length_b 9.957
_cell_length_c 18.610
_cell_angle_alpha 90.00
_cell_angle_beta 90.00
_cell_angle_gamma 90.00
_space_group_name_H-M_alt 'I 2 2 2'
_space_group_IT_number 23
loop_
_space_group_symop_operation_xyz
'x,y,z'
'-x,-y,z'
'x,-y,-z'
'-x,y,-z'
'x+1/2,y+1/2,z+1/2'
'-x+1/2,-y+1/2,z+1/2'
'x+1/2,-y+1/2,-z+1/2'
'-x+1/2,y+1/2,-z+1/2'
loop_
_atom_site_label
_atom_site_type_symbol
_atom_site_fract_x
_atom_site_fract_y
_atom_site_fract_z
K1 K 0.000 0.000 0.209
K2 K 0.000 0.500 0.247
K3 K 0.132 0.258 0.420
La1 La 0.000 0.500 0.000
P1 P 0.210 0.263 0.126
S1 S 0.019 0.278 0.891
S2 S 0.200 0.412 0.587
S3 S 0.201 0.078 0.570
S4 S 0.243 0.232 0.734
```

formation energy (no corrections): -2702.7 kJ/mol of formula units
DOS at the Fermi energy: 40.40 states/eV/cell

***

Record 2
Material: CdNO2F
Method: DFT, PBE-GGA
State: relaxed

```
data_CdNO2F
_chemical_formula_sum 'Cd1 N1 O2 F1'
_cell_length_a 4.362
_cell_length_b 4.362
_cell_length_c 4.525
_cell_angle_alpha 90.00
_cell_angle_beta 90.00
_cell_angle_gamma 90.00
_space_group_name_H-M_alt 'P 4/m m m'
_space_group_IT_number 123
_space_group_name_Hall '-P 4 2'
loop_
_atom_site_label
_atom_site_type_symbol
_atom_site_fract_x
_atom_site_fract_y
_atom_site_fract_z
Cd1 Cd 0.000 0.000 0.000
N1 N 0.000 0.000 0.500
O1 O 0.000 0.500 0.000
F1 F 0.500 0.500 0.500
```

formation energy (no corrections): 600.5 kJ/mol of formula units
DOS at the Fermi energy: 4.03 states/eV/cell

***

Record 3
Material: Sr2OF
Method: DFT, PBE-GGA
State: relaxed

```
data_Sr2OF
_chemical_formula_sum 'Sr8 O4 F4'
_cell_length_a 6.407
_cell_length_b 6.407
_cell_length_c 6.407
_cell_angle_alpha 90.00
_cell_angle_beta 90.00
_cell_angle_gamma 90.00
_space_group_name_H-M_alt 'F m -3 m'
_space_group_IT_number 225
_space_group_name_Hall '-F 4 2 3'
loop_
_atom_site_label
_atom_site_type_symbol
_atom_site_fract_x
_atom_site_fract_y
_atom_site_fract_z
Sr1 Sr 0.250 0.250 0.250
O1 O 0.000 0.000 0.000
F1 F 0.000 0.000 0.500
```

formation energy (no corrections): -803.1 kJ/mol of formula units
energy above the lowest structure with this stoichiometry: 0.540 eV/atom
DOS at the Fermi energy: 8.67 states/eV/cell

***

Record 4
Material: Fe3BW
Method: DFT, PBE-GGA
State: relaxed

```
data_Fe3BW
_chemical_formula_sum 'Fe3 B1 W1'
_cell_length_a 4.477
_cell_length_b 4.477
_cell_length_c 4.477
_cell_angle_alpha 90.00
_cell_angle_beta 90.00
_cell_angle_gamma 90.00
_space_group_name_H-M_alt 'P m -3 m'
_space_group_IT_number 221
_space_group_name_Hall '-P 4 2 3'
loop_
_atom_site_label
_atom_site_type_symbol
_atom_site_fract_x
_atom_site_fract_y
_atom_site_fract_z
Fe1 Fe 0.000 0.000 0.500
B1 B 0.500 0.500 0.500
W1 W 0.000 0.000 0.000
```

calculated formation energy: 2.3877 eV per atom
energy above the lowest structure with this stoichiometry: 2.516 eV/atom
DOS at the Fermi energy: 5.59 states/eV/cell

***

Record 5
Material: PmSc2Ni
Method: DFT, PBE-GGA
State: relaxed

```
data_PmSc2Ni
_chemical_formula_sum 'Pm1 Sc2 Ni1'
_cell_length_a 3.269
_cell_length_b 3.269
_cell_length_c 8.342
_cell_angle_alpha 90.00
_cell_angle_beta 90.00
_cell_angle_gamma 90.00
_space_group_name_H-M_alt 'P 4/m m m'
_space_group_IT_number 123
_space_group_name_Hall '-P 4 2'
loop_
_atom_site_label
_atom_site_type_symbol
_atom_site_fract_x
_atom_site_fract_y
_atom_site_fract_z
Pm1 Pm 0.000 0.000 0.000
Sc1 Sc 0.500 0.500 0.320
Ni1 Ni 0.000 0.000 0.500
```

calculated formation energy: -0.2065 eV per atom
energy above the lowest structure with this stoichiometry: 0.022 eV/atom
DOS at the Fermi energy: 4.00 states/eV/cell

***

Record 6
Material: KRbCdF4
Method: DFT, PBE-GGA
State: relaxed

```
data_KRbCdF4
_chemical_formula_sum 'K2 Rb2 Cd2 F8'
_cell_length_a 4.482
_cell_length_b 4.482
_cell_length_c 13.789
_cell_angle_alpha 90.00
_cell_angle_beta 90.00
_cell_angle_gamma 90.00
_space_group_name_H-M_alt 'I 4 m m'
_space_group_IT_number 107
_space_group_name_Hall 'I 4 -2'
loop_
_atom_site_label
_atom_site_type_symbol
_atom_site_fract_x
_atom_site_fract_y
_atom_site_fract_z
K1 K 0.000 0.000 0.000
Rb1 Rb 0.000 0.000 0.290
Cd1 Cd 0.000 0.000 0.645
F1 F 0.000 0.000 0.483
F2 F 0.000 0.000 0.808
F3 F 0.000 0.500 0.141
```

formation energy (no corrections): -1703.3 kJ/mol of formula units
DOS at the Fermi energy: 0.00 states/eV/cell

***

Record 7
Material: ZrFe2Br
Method: DFT, PBE-GGA
State: relaxed

```
data_ZrFe2Br
_chemical_formula_sum 'Zr1 Fe2 Br1'
_cell_length_a 3.178
_cell_length_b 4.414
_cell_length_c 4.731
_cell_angle_alpha 90.00
_cell_angle_beta 90.00
_cell_angle_gamma 90.00
_space_group_name_H-M_alt 'P m m m'
_space_group_IT_number 47
loop_
_space_group_symop_operation_xyz
'x,y,z'
'-x,-y,-z'
'-x,-y,z'
'x,y,-z'
'x,-y,-z'
'-x,y,z'
'-x,y,-z'
'x,-y,z'
loop_
_atom_site_label
_atom_site_type_symbol
_atom_site_fract_x
_atom_site_fract_y
_atom_site_fract_z
Zr1 Zr 0.000 0.000 0.000
Fe1 Fe 0.000 0.500 0.500
Fe2 Fe 0.500 0.000 0.500
Br1 Br 0.500 0.500 0.000
```

formation energy (no corrections): 147.2 kJ/mol of formula units
energy above the lowest structure with this stoichiometry: 0.373 eV/atom
DOS at the Fermi energy: 4.70 states/eV/cell

***

Record 8
Material: Ca2PrSm
Method: DFT, PBE-GGA
State: relaxed

```
data_Ca2PrSm
_chemical_formula_sum 'Ca6 Pr3 Sm3'
_cell_length_a 3.7197
_cell_length_b 3.7197
_cell_length_c 37.3075
_cell_angle_alpha 90.00
_cell_angle_beta 90.00
_cell_angle_gamma 120.00
_space_group_name_H-M_alt 'R 3 m'
_space_group_IT_number 160
_space_group_name_Hall 'R 3 -2"'
loop_
_atom_site_label
_atom_site_type_symbol
_atom_site_fract_x
_atom_site_fract_y
_atom_site_fract_z
Ca1 Ca 0.0000 0.0000 0.0000
Ca2 Ca 0.0000 0.0000 0.1649
Pr1 Pr 0.0000 0.0000 0.5827
Sm1 Sm 0.0000 0.0000 0.7488
```

calculated formation energy: 0.0894 eV per atom
energy above the lowest structure with this stoichiometry: 0.052 eV/atom
DOS at the Fermi energy: 20.04 states/eV/cell

***

Record 9
Material: Sc4FePd3
Method: DFT, PBE-GGA
State: relaxed

```
data_Sc4FePd3
_chemical_formula_sum 'Sc4 Fe1 Pd3'
_cell_length_a 3.227
_cell_length_b 3.227
_cell_length_c 13.305
_cell_angle_alpha 90.00
_cell_angle_beta 90.00
_cell_angle_gamma 90.00
_space_group_name_H-M_alt 'P 4/m m m'
_space_group_IT_number 123
_space_group_name_Hall '-P 4 2'
loop_
_atom_site_label
_atom_site_type_symbol
_atom_site_fract_x
_atom_site_fract_y
_atom_site_fract_z
Sc1 Sc 0.000 0.000 0.112
Sc2 Sc 0.000 0.000 0.370
Fe1 Fe 0.500 0.500 0.000
Pd1 Pd 0.500 0.500 0.245
Pd2 Pd 0.500 0.500 0.500
```

calculated formation energy: -0.7155 eV per atom
DOS at the Fermi energy: 2.75 states/eV/cell

***

Record 10
Material: Rb6Fe3Cl14
Method: DFT, PBE-GGA
State: relaxed

```
data_Rb6Fe3Cl14
_chemical_formula_sum 'Rb6 Fe3 Cl14'
_cell_length_a 11.6641
_cell_length_b 11.6641
_cell_length_c 6.6065
_cell_angle_alpha 90.00
_cell_angle_beta 90.00
_cell_angle_gamma 120.00
_space_group_name_H-M_alt 'P 3'
_space_group_IT_number 143
loop_
_space_group_symop_operation_xyz
'x,y,z'
'-y,x-y,z'
'-x+y,-x,z'
loop_
_atom_site_label
_atom_site_type_symbol
_atom_site_fract_x
_atom_site_fract_y
_atom_site_fract_z
Rb1 Rb 0.0296 0.4587 0.0000
Rb2 Rb 0.2994 0.2081 0.5081
Fe1 Fe 0.0000 0.0000 0.0731
Fe2 Fe 0.3333 0.6667 0.5714
Fe3 Fe 0.6667 0.3333 0.7357
Cl1 Cl 0.0000 0.0000 0.7317
Cl2 Cl 0.0651 0.2053 0.1941
Cl3 Cl 0.1992 0.7387 0.6922
Cl4 Cl 0.3333 0.6667 0.2298
Cl5 Cl 0.4800 0.2692 0.9339
Cl6 Cl 0.5430 0.1464 0.5399
```

formation energy (no corrections): -3101.4 kJ/mol of formula units
DOS at the Fermi energy: 16.20 states/eV/cell

***

Record 11
Material: La3SmYTh
Method: DFT, PBE-GGA
State: relaxed

```
data_La3SmYTh
_chemical_formula_sum 'La6 Sm2 Y2 Th2'
_cell_length_a 8.244
_cell_length_b 5.160
_cell_length_c 10.366
_cell_angle_alpha 90.00
_cell_angle_beta 108.47
_cell_angle_gamma 90.00
_space_group_name_H-M_alt 'P 1 21/m 1'
_space_group_IT_number 11
loop_
_space_group_symop_operation_xyz
'x,y,z'
'-x,-y,-z'
'-x,y+1/2,-z'
'x,-y+1/2,z'
loop_
_atom_site_label
_atom_site_type_symbol
_atom_site_fract_x
_atom_site_fract_y
_atom_site_fract_z
La1 La 0.170 0.250 0.047
La2 La 0.171 0.750 0.790
La3 La 0.184 0.250 0.545
Sm1 Sm 0.184 0.750 0.298
Y1 Y 0.497 0.750 0.129
Th1 Th 0.499 0.250 0.379
```

calculated formation energy: 0.0321 eV per atom
DOS at the Fermi energy: 19.67 states/eV/cell

***

Record 12
Material: Mn2AlHg
Method: DFT, PBE-GGA
State: relaxed

```
data_Mn2AlHg
_chemical_formula_sum 'Mn6 Al3 Hg3'
_cell_length_a 2.9477
_cell_length_b 2.9477
_cell_length_c 26.1757
_cell_angle_alpha 90.00
_cell_angle_beta 90.00
_cell_angle_gamma 120.00
_space_group_name_H-M_alt 'R -3 m'
_space_group_IT_number 166
_space_group_name_Hall '-R 3 2"'
loop_
_atom_site_label
_atom_site_type_symbol
_atom_site_fract_x
_atom_site_fract_y
_atom_site_fract_z
Mn1 Mn 0.0000 0.0000 0.2438
Al1 Al 0.0000 0.0000 0.5000
Hg1 Hg 0.0000 0.0000 0.0000
```

calculated formation energy: 0.2412 eV per atom
energy above the lowest structure with this stoichiometry: 0.137 eV/atom
DOS at the Fermi energy: 12.73 states/eV/cell

***

Record 13
Material: Sr2Zn2SnPd5
Method: DFT, PBE-GGA
State: relaxed

```
data_Sr2Zn2SnPd5
_chemical_formula_sum 'Sr4 Zn4 Sn2 Pd10'
_cell_length_a 10.172
_cell_length_b 10.172
_cell_length_c 3.754
_cell_angle_alpha 90.00
_cell_angle_beta 90.00
_cell_angle_gamma 90.00
_space_group_name_H-M_alt 'P 4/m b m'
_space_group_IT_number 127
_space_group_name_Hall '-P 4 2ab'
loop_
_atom_site_label
_atom_site_type_symbol
_atom_site_fract_x
_atom_site_fract_y
_atom_site_fract_z
Sr1 Sr 0.178 0.322 0.000
Zn1 Zn 0.120 0.620 0.000
Sn1 Sn 0.000 0.000 0.000
Pd1 Pd 0.000 0.500 0.500
Pd2 Pd 0.064 0.792 0.500
```

calculated formation energy: -0.6128 eV per atom
DOS at the Fermi energy: 4.52 states/eV/cell

***

Record 14
Material: CsHf2TlPt
Method: DFT, PBE-GGA
State: relaxed

```
data_CsHf2TlPt
_chemical_formula_sum 'Cs1 Hf2 Tl1 Pt1'
_cell_length_a 5.512
_cell_length_b 5.512
_cell_length_c 5.315
_cell_angle_alpha 90.00
_cell_angle_beta 90.00
_cell_angle_gamma 90.00
_space_group_name_H-M_alt 'P 4/m m m'
_space_group_IT_number 123
_space_group_name_Hall '-P 4 2'
loop_
_atom_site_label
_atom_site_type_symbol
_atom_site_fract_x
_atom_site_fract_y
_atom_site_fract_z
Cs1 Cs 0.000 0.000 0.000
Hf1 Hf 0.000 0.500 0.500
Tl1 Tl 0.500 0.500 0.500
Pt1 Pt 0.500 0.500 0.000
```

calculated formation energy: 1.3288 eV per atom
DOS at the Fermi energy: 7.75 states/eV/cell

***

Record 15
Material: LiTmPO4
Method: DFT, PBE-GGA
State: relaxed

```
data_LiTmPO4
_chemical_formula_sum 'Li4 Tm4 P4 O16'
_cell_length_a 6.067
_cell_length_b 6.077
_cell_length_c 8.661
_cell_angle_alpha 90.00
_cell_angle_beta 90.00
_cell_angle_gamma 90.00
_space_group_name_H-M_alt 'I m m a'
_space_group_IT_number 74
_space_group_name_Hall '-I 2b 2'
loop_
_atom_site_label
_atom_site_type_symbol
_atom_site_fract_x
_atom_site_fract_y
_atom_site_fract_z
Li1 Li 0.000 0.000 0.000
Tm1 Tm 0.250 0.250 0.250
P1 P 0.000 0.250 0.616
O1 O 0.000 0.041 0.722
O2 O 0.213 0.250 0.513
```

formation energy (no corrections): -1637.5 kJ/mol of formula units
DOS at the Fermi energy: 4.79 states/eV/cell